# 1
First-principles (GGA-PBE) data for an optimized crystal structure of NdMgCd, as listed in the Alexandria database.

Output
Crystal system: orthorhombic
Total moment (μB per cell): 0.16

Cell lengths 8.3910, 8.3910, 3.9067 Å; angles 90.00, 90.00, 144.46 degrees
Closest atoms and distances in Å follow each position.
Atoms (fractional coordinates):
1 Nd 0.1719 0.8281 0.0000  6 Cd 3.26-3.55, 2 Mg 3.37, 2 Nd 3.58
2 Nd 0.8281 0.1719 0.0000  6 Cd 3.26-3.55, 2 Mg 3.37, 2 Nd 3.58
3 Mg 0.0000 0.0000 0.5000  4 Mg 3.22, 4 Nd 3.37, 4 Cd 3.43
4 Mg 0.5000 0.5000 0.0000  4 Cd 3.00, 4 Mg 3.22
5 Cd 0.3577 0.6423 0.5000  2 Mg 3.00, 4 Nd 3.26
6 Cd 0.6423 0.3577 0.5000  2 Mg 3.00, 4 Nd 3.26

---

# 2
First-principles (GGA-PBE) data for an optimized crystal structure of Nd2Mg3Cd4, as listed in the Alexandria database.

Output
Crystal system: monoclinic
Total moment (μB per cell): 0.00

Cell lengths 5.1308, 5.1308, 9.8274 Å; angles 90.21, 90.21, 60.04 degrees
Closest atoms and distances in Å follow each position.
Atoms (fractional coordinates):
1 Nd 0.1656 0.1656 0.2879  7 Cd 3.12-3.26
2 Nd 0.8344 0.8344 0.7121  7 Cd 3.12-3.26
3 Mg 0.1684 0.1684 0.9302  4 Cd 3.06-3.19, 3 Mg 3.25-3.30
4 Mg 0.5000 0.5000 0.5000  8 Cd 3.14-3.44
5 Mg 0.8316 0.8316 0.0698  4 Cd 3.06-3.19, 3 Mg 3.25-3.30
6 Cd 0.1672 0.1672 0.6056  4 Nd 3.12-3.14, 4 Mg 3.14-3.19
7 Cd 0.4977 0.4977 0.1504  1 Cd 2.96, 3 Mg 3.06-3.07, 3 Nd 3.25-3.26
8 Cd 0.5023 0.5023 0.8496  1 Cd 2.96, 3 Mg 3.06-3.07, 3 Nd 3.25-3.26
9 Cd 0.8328 0.8328 0.3944  4 Nd 3.12-3.14, 4 Mg 3.14-3.19

---

# 3
First-principles (GGA-PBE) data for an optimized crystal structure of Nd3Mg2Cd2, as listed in the Alexandria database.

Output
Crystal system: triclinic
Total moment (μB per cell): 0.00

Cell lengths 5.1754, 6.1721, 6.7758 Å; angles 86.97, 89.93, 65.22 degrees
Closest atoms and distances in Å follow each position.
Atoms (fractional coordinates):
1 Nd 0.0000 0.0000 0.0000  2 Cd 3.18, 4 Nd 3.56
2 Nd 0.3879 0.2241 0.2988  3 Cd 3.16-3.18, 3 Mg 3.41-3.42
3 Nd 0.6121 0.7759 0.7012  3 Cd 3.16-3.18, 3 Mg 3.41-3.42
4 Mg 0.3044 0.3906 0.8071  3 Cd 3.15-3.20, 3 Nd 3.41-3.42
5 Mg 0.6956 0.6094 0.1929  3 Cd 3.15-3.20, 3 Nd 3.41-3.42
6 Cd 0.1219 0.7571 0.4359  1 Cd 2.91, 3 Mg 3.15-3.20, 4 Nd 3.16-3.18
7 Cd 0.8781 0.2429 0.5641  1 Cd 2.91, 3 Mg 3.15-3.20, 4 Nd 3.16-3.18

---

# 4
First-principles (GGA-PBE) data for an optimized crystal structure of NdMgCd4, as listed in the Alexandria database.

Output
Crystal system: orthorhombic
Total moment (μB per cell): 0.00

Cell lengths 9.4403, 9.4403, 7.2602 Å; angles 90.00, 90.00, 152.83 degrees
Closest atoms and distances in Å follow each position.
Atoms (fractional coordinates):
1 Nd 0.1108 0.8892 0.7500  9 Cd 3.25-3.51, 2 Mg 3.60
2 Nd 0.8892 0.1108 0.2500  9 Cd 3.25-3.51, 2 Mg 3.60
3 Mg 0.2343 0.7657 0.2500  7 Cd 2.84-3.02
4 Mg 0.7657 0.2343 0.7500  7 Cd 2.84-3.02
5 Cd 0.0699 0.9301 0.2500  1 Mg 3.02, 8 Cd 3.14-3.19, 1 Nd 3.32
6 Cd 0.3345 0.6655 0.5474  3 Mg 2.84-2.94, 2 Cd 2.94-3.06
7 Cd 0.3345 0.6655 0.9526  3 Mg 2.84-2.94, 2 Cd 2.94-3.06
8 Cd 0.5000 0.5000 0.0000  6 Cd 3.06-3.14
9 Cd 0.5000 0.5000 0.5000  6 Cd 3.06-3.14
10 Cd 0.6655 0.3345 0.0474  3 Mg 2.84-2.94, 2 Cd 2.94-3.06
11 Cd 0.6655 0.3345 0.4526  3 Mg 2.84-2.94, 2 Cd 2.94-3.06
12 Cd 0.9301 0.0699 0.7500  1 Mg 3.02, 8 Cd 3.14-3.19, 1 Nd 3.32

---

Looking at formation enthalpy at 0 K for the records above, in order, we have -0.2087; -0.2521; -0.1640; -0.1946 eV per atom.